# 1
BePRu2 PBE optimized geometry; E_form = -83 kJ/mol of formula units; total magnetization = 0.00 μB/f.u.
1.0
2.846 0.000 0.000
0.000 3.486 0.000
-1.035 0.000 5.070
Be P Ru
1 1 2
direct
0.000 0.000 0.000 Be
0.000 0.000 0.500 P
0.353 0.500 0.741 Ru
0.647 0.500 0.259 Ru

***

# 2
Ac2TbNd6 PBE optimized geometry; E_form = 73 kJ/mol of formula units; total magnetization = 0.00 μB/f.u.
1.0
7.837 -5.130 0.000
7.837 5.130 0.000
-4.363 0.000 8.246
Ac Tb Nd
4 2 12
direct
0.012 0.174 0.178 Ac
0.174 0.012 0.678 Ac
0.826 0.988 0.322 Ac
0.988 0.826 0.822 Ac
0.256 0.744 0.250 Tb
0.744 0.256 0.750 Tb
0.090 0.581 0.419 Nd
0.171 0.351 0.013 Nd
0.339 0.496 0.835 Nd
0.351 0.171 0.513 Nd
0.419 0.910 0.081 Nd
0.496 0.339 0.335 Nd
0.504 0.661 0.665 Nd
0.581 0.090 0.919 Nd
0.649 0.829 0.487 Nd
0.661 0.504 0.165 Nd
0.829 0.649 0.987 Nd
0.910 0.419 0.581 Nd

***

# 3
TbDy2YTe5 PBE optimized geometry; E_form (uncorrected) = -5.8 eV per formula unit; total magnetization = 0.56 μB/f.u.
1.0
5.570 0.000 0.000
0.000 5.570 0.000
0.000 0.000 11.545
Tb Dy Y Te
1 2 1 5
direct
0.000 0.000 0.000 Tb
0.500 0.500 0.150 Dy
0.500 0.500 0.850 Dy
0.000 0.000 0.500 Y
0.000 0.000 0.255 Te
0.000 0.000 0.745 Te
0.000 0.500 0.000 Te
0.500 0.000 0.000 Te
0.500 0.500 0.500 Te